No. 1
Below is a geometry-optimized Ta2PBr structure, with properties calculated at the PBE-GGA level.

Structure (CIF):
```
data_Ta2PBr
_space_group_name_H-M_alt 'P 4/m m m'
_space_group_IT_number 123
_space_group_name_Hall '-P 4 2'
_cell_length_a 3.201
_cell_length_b 3.201
_cell_length_c 6.884
_cell_angle_alpha 90.00
_cell_angle_beta 90.00
_cell_angle_gamma 90.00
loop_
_atom_site_label
_atom_site_type_symbol
_atom_site_fract_x
_atom_site_fract_y
_atom_site_fract_z
Ta1 Ta 0.000 0.000 0.193
P1 P 0.500 0.500 0.000
Br1 Br 0.500 0.500 0.500
```

## Properties
* ΔE to the lowest computed polymorph: 179 meV per atom
* E_form (uncorrected): -0.2 eV/f.u.
* calculated total energy: -7.7378 eV per atom
* theoretical density: 11.1 g cm⁻³

=====

No. 2
Below is a geometry-optimized Tb3PBr3 structure, with properties calculated at the PBE-GGA level.

Structure (CIF):
```
data_Tb3PBr3
_space_group_name_H-M_alt 'R -3'
_space_group_IT_number 148
_space_group_name_Hall '-R 3'
_cell_length_a 6.8927
_cell_length_b 6.8927
_cell_length_c 32.0160
_cell_angle_alpha 90.00
_cell_angle_beta 90.00
_cell_angle_gamma 120.00
loop_
_atom_site_label
_atom_site_type_symbol
_atom_site_fract_x
_atom_site_fract_y
_atom_site_fract_z
Tb1 Tb 0.0000 0.3392 0.4527
P1 P 0.0000 0.0000 0.1667
Br1 Br 0.0000 0.3315 0.6047
```

## Properties
* E_form (uncorrected): -11.2 eV/f.u.
* calculated total energy: -5.0777 eV per atom
* theoretical density: 5.7 g cm⁻³

=====

No. 3
Below is a geometry-optimized Tb5P4Br structure, with properties calculated at the PBE-GGA level.

Structure (CIF):
```
data_Tb5P4Br
_space_group_name_H-M_alt 'C 1 2/m 1'
_space_group_IT_number 12
_space_group_name_Hall '-C 2y'
_cell_length_a 13.483
_cell_length_b 4.037
_cell_length_c 10.004
_cell_angle_alpha 90.00
_cell_angle_beta 119.86
_cell_angle_gamma 90.00
loop_
_atom_site_label
_atom_site_type_symbol
_atom_site_fract_x
_atom_site_fract_y
_atom_site_fract_z
Tb1 Tb 0.000 0.000 0.000
Tb2 Tb 0.112 0.500 0.384
Tb3 Tb 0.209 0.000 0.820
P1 P 0.095 0.500 0.893
P2 P 0.208 0.000 0.300
Br1 Br 0.000 0.000 0.500
```

## Properties
* E_form (uncorrected): -15.9 eV/f.u.
* calculated total energy: -6.2370 eV per atom
* theoretical density: 7.0 g cm⁻³

=====

No. 4
Below is a geometry-optimized Tb2PBr2 structure, with properties calculated at the PBE-GGA level.

Structure (CIF):
```
data_Tb2PBr2
_space_group_name_H-M_alt 'R -3 m'
_space_group_IT_number 166
_space_group_name_Hall '-R 3 2"'
_cell_length_a 4.0241
_cell_length_b 4.0241
_cell_length_c 32.3787
_cell_angle_alpha 90.00
_cell_angle_beta 90.00
_cell_angle_gamma 120.00
loop_
_atom_site_label
_atom_site_type_symbol
_atom_site_fract_x
_atom_site_fract_y
_atom_site_fract_z
Tb1 Tb 0.0000 0.0000 0.1195
P1 P 0.0000 0.0000 0.5000
Br1 Br 0.0000 0.0000 0.2704
```

## Properties
* E_form (uncorrected): -8.9 eV/f.u.
* calculated total energy: -5.3842 eV per atom
* theoretical density: 5.6 g cm⁻³

=====

No. 5
Below is a geometry-optimized Tb4PBr5 structure, with properties calculated at the PBE-GGA level.

Structure (CIF):
```
data_Tb4PBr5
_space_group_name_H-M_alt 'C 1 2/m 1'
_space_group_IT_number 12
_space_group_name_Hall '-C 2y'
_cell_length_a 18.048
_cell_length_b 4.002
_cell_length_c 8.305
_cell_angle_alpha 90.00
_cell_angle_beta 102.88
_cell_angle_gamma 90.00
loop_
_atom_site_label
_atom_site_type_symbol
_atom_site_fract_x
_atom_site_fract_y
_atom_site_fract_z
Tb1 Tb 0.000 0.000 0.217
Tb2 Tb 0.149 0.500 0.078
P1 P 0.000 0.500 0.000
Br1 Br 0.000 0.500 0.500
Br2 Br 0.166 0.000 0.335
Br3 Br 0.172 0.000 0.834
```

## Properties
* E_form (uncorrected): -16.3 eV/f.u.
* calculated total energy: -4.8571 eV per atom
* theoretical density: 6.1 g cm⁻³

=====

No. 6
Below is a geometry-optimized Tb3PBr7 structure, with properties calculated at the PBE-GGA level.

Structure (CIF):
```
data_Tb3PBr7
_space_group_name_H-M_alt 'P 3 m 1'
_space_group_IT_number 156
_space_group_name_Hall 'P 3 -2"'
_cell_length_a 8.4400
_cell_length_b 8.4400
_cell_length_c 6.8266
_cell_angle_alpha 90.00
_cell_angle_beta 90.00
_cell_angle_gamma 120.00
loop_
_atom_site_label
_atom_site_type_symbol
_atom_site_fract_x
_atom_site_fract_y
_atom_site_fract_z
Tb1 Tb 0.0079 0.5039 0.0000
P1 P 0.3333 0.6667 0.1974
Br1 Br 0.1765 0.3530 0.7611
Br2 Br 0.3493 0.1746 0.2173
Br3 Br 0.6667 0.3333 0.7551
```

## Properties
* E_form (uncorrected): -17.6 eV/f.u.
* calculated total energy: -4.4189 eV per atom
* theoretical density: 4.2 g cm⁻³

=====

No. 7
Below is a geometry-optimized TcP2Br structure, with properties calculated at the PBE-GGA level.

Structure (CIF):
```
data_TcP2Br
_space_group_name_H-M_alt 'P 4/m m m'
_space_group_IT_number 123
_space_group_name_Hall '-P 4 2'
_cell_length_a 3.659
_cell_length_b 3.659
_cell_length_c 4.984
_cell_angle_alpha 90.00
_cell_angle_beta 90.00
_cell_angle_gamma 90.00
loop_
_atom_site_label
_atom_site_type_symbol
_atom_site_fract_x
_atom_site_fract_y
_atom_site_fract_z
Tc1 Tc 0.000 0.000 0.000
P1 P 0.000 0.500 0.500
Br1 Br 0.500 0.500 0.000
```

## Properties
* ΔE to the lowest computed polymorph: 1022 meV per atom
* E_form (uncorrected): 3.9 eV/f.u.
* calculated total energy: -4.7387 eV per atom
* theoretical density: 6.0 g cm⁻³

=====

No. 8
Below is a geometry-optimized TcP2Br structure, with properties calculated at the PBE-GGA level.

Structure (CIF):
```
data_TcP2Br
_space_group_name_H-M_alt 'I m m 2'
_space_group_IT_number 44
_space_group_name_Hall 'I 2 -2'
_cell_length_a 2.849
_cell_length_b 3.158
_cell_length_c 20.002
_cell_angle_alpha 90.00
_cell_angle_beta 90.00
_cell_angle_gamma 90.00
loop_
_atom_site_label
_atom_site_type_symbol
_atom_site_fract_x
_atom_site_fract_y
_atom_site_fract_z
Tc1 Tc 0.000 0.000 0.000
P1 P 0.000 0.000 0.442
P2 P 0.000 0.500 0.594
Br1 Br 0.000 0.500 0.267
```

## Properties
* ΔE to the lowest computed polymorph: 145 meV per atom
* E_form (uncorrected): 0.4 eV/f.u.
* calculated total energy: -5.6161 eV per atom
* theoretical density: 4.4 g cm⁻³

=====

No. 9
Below is a geometry-optimized TcP2Br structure, with properties calculated at the PBE-GGA level.

Structure (CIF):
```
data_TcP2Br
_space_group_name_H-M_alt 'R -3 m'
_space_group_IT_number 166
_space_group_name_Hall '-R 3 2"'
_cell_length_a 3.2124
_cell_length_b 3.2124
_cell_length_c 23.0054
_cell_angle_alpha 90.00
_cell_angle_beta 90.00
_cell_angle_gamma 120.00
loop_
_atom_site_label
_atom_site_type_symbol
_atom_site_fract_x
_atom_site_fract_y
_atom_site_fract_z
Tc1 Tc 0.0000 0.0000 0.0000
P1 P 0.0000 0.0000 0.2640
Br1 Br 0.0000 0.0000 0.5000
```

## Properties
* ΔE to the lowest computed polymorph: 120 meV per atom
* E_form (uncorrected): 0.3 eV/f.u.
* calculated total energy: -5.6406 eV per atom
* theoretical density: 5.8 g cm⁻³

=====

No. 10
Below is a geometry-optimized TcP2Br structure, with properties calculated at the PBE-GGA level.

Structure (CIF):
```
data_TcP2Br
_space_group_name_H-M_alt 'I 4/m m m'
_space_group_IT_number 139
_space_group_name_Hall '-I 4 2'
_cell_length_a 5.081
_cell_length_b 5.081
_cell_length_c 5.192
_cell_angle_alpha 90.00
_cell_angle_beta 90.00
_cell_angle_gamma 90.00
loop_
_atom_site_label
_atom_site_type_symbol
_atom_site_fract_x
_atom_site_fract_y
_atom_site_fract_z
Tc1 Tc 0.000 0.000 0.000
P1 P 0.000 0.500 0.000
Br1 Br 0.000 0.000 0.500
```

## Properties
* ΔE to the lowest computed polymorph: 714 meV per atom
* E_form (uncorrected): 2.7 eV/f.u.
* calculated total energy: -5.0466 eV per atom
* theoretical density: 5.9 g cm⁻³

=====

No. 11
Below is a geometry-optimized TcP2Br structure, with properties calculated at the PBE-GGA level.

Structure (CIF):
```
data_TcP2Br
_space_group_name_H-M_alt 'F m -3 m'
_space_group_IT_number 225
_space_group_name_Hall '-F 4 2 3'
_cell_length_a 6.325
_cell_length_b 6.325
_cell_length_c 6.325
_cell_angle_alpha 90.00
_cell_angle_beta 90.00
_cell_angle_gamma 90.00
loop_
_atom_site_label
_atom_site_type_symbol
_atom_site_fract_x
_atom_site_fract_y
_atom_site_fract_z
Tc1 Tc 0.000 0.000 0.000
P1 P 0.250 0.250 0.250
Br1 Br 0.000 0.000 0.500
```

## Properties
* ΔE to the lowest computed polymorph: 1038 meV per atom
* E_form (uncorrected): 4.0 eV/f.u.
* calculated total energy: -4.7230 eV per atom
* theoretical density: 6.3 g cm⁻³

=====

No. 12
Below is a geometry-optimized TcP2Br structure, with properties calculated at the PBE-GGA level.

Structure (CIF):
```
data_TcP2Br
_space_group_name_H-M_alt 'C m m 2'
_space_group_IT_number 35
_space_group_name_Hall 'C 2 -2'
_cell_length_a 3.028
_cell_length_b 6.043
_cell_length_c 8.962
_cell_angle_alpha 90.00
_cell_angle_beta 90.00
_cell_angle_gamma 90.00
loop_
_atom_site_label
_atom_site_type_symbol
_atom_site_fract_x
_atom_site_fract_y
_atom_site_fract_z
Tc1 Tc 0.000 0.000 0.000
P1 P 0.000 0.000 0.615
P2 P 0.000 0.500 0.784
Br1 Br 0.000 0.500 0.223
```

## Properties
* ΔE to the lowest computed polymorph: 600 meV per atom
* E_form (uncorrected): 2.2 eV/f.u.
* calculated total energy: -5.1608 eV per atom
* theoretical density: 4.9 g cm⁻³